1.
# Ge2SbH (GGA-PBE, optimized geometry)
data_Ge2SbH
_chemical_formula_sum 'Ge4 Sb2 H2'
_space_group_name_H-M_alt 'P 1'
_space_group_IT_number 1
_cell_length_a 5.1254
_cell_length_b 5.1254
_cell_length_c 7.2768
_cell_angle_alpha 69.38
_cell_angle_beta 69.38
_cell_angle_gamma 90.00
loop_
_space_group_symop_operation_xyz
'x,y,z'
loop_
_atom_site_label
_atom_site_type_symbol
_atom_site_fract_x
_atom_site_fract_y
_atom_site_fract_z
H1 H 0.5000 0.5000 0.0000
H2 H 0.2500 0.7500 0.5000
Ge1 Ge 0.2622 0.6250 0.2500
Ge2 Ge 0.3750 0.5122 0.7500
Ge3 Ge 0.8750 0.7378 0.7500
Ge4 Ge 0.4878 0.1250 0.2500
Sb1 Sb 0.0000 0.0000 0.0000
Sb2 Sb 0.7500 0.2500 0.5000
# raw total energy	-3.785	eV/atom
# energy above the most stable polymorph in this dataset	0	meV/atom
# D(E_F)	1.3	states/eV/f.u.


2.
# KYRe (GGA-PBE, optimized geometry)
data_KYRe
_chemical_formula_sum 'K1 Y1 Re1'
_space_group_name_H-M_alt 'P 1'
_space_group_IT_number 1
_cell_length_a 3.3613
_cell_length_b 3.3613
_cell_length_c 8.6153
_cell_angle_alpha 90.00
_cell_angle_beta 90.00
_cell_angle_gamma 120.00
loop_
_space_group_symop_operation_xyz
'x,y,z'
loop_
_atom_site_label
_atom_site_type_symbol
_atom_site_fract_x
_atom_site_fract_y
_atom_site_fract_z
Y1 Y 0.3333 0.6667 0.5931
K1 K 0.0000 0.0000 0.0441
Re1 Re 0.6667 0.3333 0.3627
# raw total energy	-5.624	eV/atom
# energy above the most stable polymorph in this dataset	83	meV/atom
# DFT formation energy	1046	meV/atom
# D(E_F)	3.4	states/eV/f.u.


3.
# GaSiIr2Os (GGA-PBE, optimized geometry)
data_GaSiIr2Os
_chemical_formula_sum 'Ga1 Si1 Ir2 Os1'
_space_group_name_H-M_alt 'P 1'
_space_group_IT_number 1
_cell_length_a 4.3354
_cell_length_b 4.5709
_cell_length_c 4.3354
_cell_angle_alpha 90.00
_cell_angle_beta 90.00
_cell_angle_gamma 90.00
loop_
_space_group_symop_operation_xyz
'x,y,z'
loop_
_atom_site_label
_atom_site_type_symbol
_atom_site_fract_x
_atom_site_fract_y
_atom_site_fract_z
Si1 Si 0.0000 0.0000 0.0000
Ir1 Ir 0.0000 0.0000 0.5000
Ir2 Ir 0.5000 0.0000 0.0000
Os1 Os 0.5000 0.5000 0.5000
Ga1 Ga 0.0000 0.5000 0.0000
# raw total energy	-6.252	eV/atom
# D(E_F)	5.9	states/eV/f.u.


4.
# YTcTe2 (GGA-PBE, optimized geometry)
data_YTcTe2
_chemical_formula_sum 'Y1 Tc1 Te2'
_space_group_name_H-M_alt 'P 1'
_space_group_IT_number 1
_cell_length_a 3.8318
_cell_length_b 3.8322
_cell_length_c 7.1197
_cell_angle_alpha 90.00
_cell_angle_beta 90.00
_cell_angle_gamma 90.00
loop_
_space_group_symop_operation_xyz
'x,y,z'
loop_
_atom_site_label
_atom_site_type_symbol
_atom_site_fract_x
_atom_site_fract_y
_atom_site_fract_z
Te1 Te 0.5000 0.5000 0.3261
Te2 Te 0.0000 0.0000 0.9150
Y1 Y 0.0000 0.0000 0.4956
Tc1 Tc 0.5000 0.5000 0.7632
# raw total energy	-6.151	eV/atom
# energy above the most stable polymorph in this dataset	79	meV/atom
# D(E_F)	2.4	states/eV/f.u.


- The highest D(E_F) belongs to which entry?
  GaSiIr2Os


- Which formula does entry 1 have?
  Ge2SbH


- What is the formula in the fourth record?
  YTcTe2


- The lowest raw total energy belongs to which entry?
  GaSiIr2Os